! CrAuO2 | the Alexandria database | GGA+U | optimized geometry; values from VASP
! electronic total energy	-51.67	eV/cell
&SYSTEM
  ibrav = 0, nat = 8, ntyp = 3
/
ATOMIC_SPECIES
O 16.00 O.upf
Au 196.97 Au.upf
Cr 52.00 Cr.upf
CELL_PARAMETERS angstrom
3.079 0.000 0.000
1.540 2.667 0.000
0.000 0.000 12.354
ATOMIC_POSITIONS crystal
O 0.667 0.667 0.080
Au 0.333 0.333 0.750
O 0.333 0.333 0.920
Au 0.667 0.667 0.250
O 0.667 0.667 0.420
O 0.333 0.333 0.580
Cr 0.000 0.000 0.500
Cr 0.000 0.000 0.000